No. 1
PBE KAlTl2, optimized geometry; relative energy among the computed polymorphs = 163 meV/atom; calculated formation energy = 0.1920 eV per atom; density = 6.65 Mg/m³; DOS at the Fermi energy = 1.6 states/eV per cell; SG = P4/mmm, No. 123
1.0
5.1499 0.0000 0.0000
0.0000 5.1499 0.0000
0.0000 0.0000 4.4713
K Al Tl
1 1 2
Direct
0.0000 0.0000 0.0000
0.5000 0.5000 0.0000
0.0000 0.5000 0.5000
0.5000 0.0000 0.5000

No. 2
PBE CaZrSc2Sb, optimized geometry; density = 4.23 Mg/m³; DOS at the Fermi energy = 6.6 states/eV per cell; raw formation energy = 1101 meV/atom; SG = P4/mmm, No. 123
1.0
5.1163 0.0000 0.0000
0.0000 5.1163 0.0000
0.0000 0.0000 5.1473
Ca Zr Sc Sb
1 1 2 1
Direct
0.0000 0.0000 0.0000
0.0000 0.0000 0.5000
0.0000 0.5000 0.0000
0.5000 0.0000 0.0000
0.5000 0.5000 0.5000